No. 1
The following is a PBE calculation of a geometry-optimized CdRe2Ru structure, from Alexandria via LeMat-Bulk.

Values from the calculation:
D(E_F): 0.784 states/eV per atom
Total magnetic moment: 0.0 μB/f.u.
ΔE_f: 0.378 eV/atom
Crystal system: tetragonal

Cell: 2.7469 2.7469 8.4004 Å, 90.00 90.00 90.00°
With the nearest neighbours (Å) after each atom.
Space group P4/mmm (No. 123)
One atom of each set of equivalent atoms:
Cd (0.0000, 0.0000, 0.0000) [1 per cell]  4 Cd 2.75, 8 Re 3.01
Re (0.5000, 0.5000, 0.2742) [2 per cell]  4 Ru 2.72, 4 Re 2.75, 4 Cd 3.01
Ru (0.0000, 0.0000, 0.5000) [1 per cell]  8 Re 2.72, 4 Ru 2.75

=====

No. 2
The following is a PBE calculation of a geometry-optimized CdRe3Ru structure, from Alexandria via LeMat-Bulk.

Values from the calculation:
D(E_F): 1.052 states/eV per atom
Relative energy among the computed polymorphs: 0.000 eV per atom
Total magnetic moment: 1.3 μB/f.u.
ΔE_f: 2.065 eV/atom
Crystal system: cubic

Cell: 4.6936 4.6936 4.6936 Å, 90.00 90.00 90.00°
With the nearest neighbours (Å) after each atom.
Space group Pm-3m (No. 221)
One atom of each set of equivalent atoms:
Cd (0.0000, 0.0000, 0.0000) [1 per cell]  12 Re 3.32
Re (0.0000, 0.5000, 0.5000) [3 per cell]  2 Ru 2.35
Ru (0.5000, 0.5000, 0.5000) [1 per cell]  6 Re 2.35

=====

No. 3
The following is a PBE calculation of a geometry-optimized CdRe2Ru structure, from Alexandria via LeMat-Bulk.

Values from the calculation:
D(E_F): 1.010 states/eV per atom
Total magnetic moment: 0.0 μB/f.u.
ΔE_f: 0.429 eV/atom
Crystal system: orthorhombic

Cell: 2.9267 4.6402 9.4404 Å, 90.00 90.00 90.00°
With the nearest neighbours (Å) after each atom.
Space group Cmm2 (No. 35)
One atom of each set of equivalent atoms:
Cd (0.0000, 0.0000, 0.0000) [2 per cell]  6 Cd 2.74-2.93, 2 Ru 2.86, 2 Re 2.96
Re (0.0000, 0.0000, 0.5080) [2 per cell]  2 Ru 2.63, 8 Re 2.66-2.93
Re (0.0000, 0.5000, 0.2728) [2 per cell]  8 Re 2.66-2.93, 2 Cd 2.96
Ru (0.0000, 0.5000, 0.7396) [2 per cell]  2 Re 2.63, 6 Ru 2.74-2.93, 2 Cd 2.86

=====

No. 4
The following is a PBE calculation of a geometry-optimized CdRe2Ru structure, from Alexandria via LeMat-Bulk.

Values from the calculation:
D(E_F): 1.209 states/eV per atom
Total magnetic moment: 0.0 μB/f.u.
ΔE_f: 0.230 eV/atom
Crystal system: trigonal

Cell: 2.8096 2.8096 27.8948 Å, 90.00 90.00 120.00°
With the nearest neighbours (Å) after each atom.
Space group R3m (No. 160, hexagonal axes)
One atom of each set of equivalent atoms:
Cd (0.0000, 0.0000, 0.0000) [3 per cell]  6 Cd 2.81, 3 Ru 2.95, 3 Re 3.02
Re (0.0000, 0.0000, 0.2419) [3 per cell]  9 Re 2.70-2.81, 3 Cd 3.02
Re (0.0000, 0.0000, 0.4977) [3 per cell]  3 Ru 2.67, 9 Re 2.70-2.81
Ru (0.0000, 0.0000, 0.7552) [3 per cell]  3 Re 2.67, 6 Ru 2.81, 3 Cd 2.95

=====

No. 5
The following is a PBE calculation of a geometry-optimized CdRe2Ru structure, from Alexandria via LeMat-Bulk.

Values from the calculation:
D(E_F): 1.187 states/eV per atom
Total magnetic moment: 0.0 μB/f.u.
ΔE_f: 0.621 eV/atom
Crystal system: orthorhombic

Cell: 3.0786 4.4098 4.6590 Å, 90.00 90.00 90.00°
With the nearest neighbours (Å) after each atom.
Space group Pmmm (No. 47)
One atom of each set of equivalent atoms:
Cd (0.0000, 0.0000, 0.0000) [1 per cell]  4 Ru 2.69, 4 Re 2.79
Re (0.0000, 0.5000, 0.5000) [1 per cell]  4 Re 2.69, 4 Ru 2.79
Re (0.5000, 0.0000, 0.5000) [1 per cell]  4 Re 2.69, 4 Cd 2.79
Ru (0.5000, 0.5000, 0.0000) [1 per cell]  4 Cd 2.69, 4 Re 2.79

=====

No. 6
The following is a PBE calculation of a geometry-optimized CdReRu4 structure, from Alexandria via LeMat-Bulk.

Values from the calculation:
D(E_F): 1.451 states/eV per atom
Total magnetic moment: 0.0 μB/f.u.
ΔE_f: 0.566 eV/atom
Crystal system: cubic

Cell: 7.2061 7.2061 7.2061 Å, 90.00 90.00 90.00°
With the nearest neighbours (Å) after each atom.
Space group F-43m (No. 216)
One atom of each set of equivalent atoms:
Cd (0.0000, 0.0000, 0.0000) [4 per cell]  12 Ru 2.99, 4 Re 3.12
Re (0.2500, 0.2500, 0.7500) [4 per cell]  12 Ru 2.99, 4 Cd 3.12
Ru (0.1251, 0.1251, 0.3749) [16 per cell]  6 Ru 2.55

=====

No. 7
The following is a PBE calculation of a geometry-optimized CdRe2Ru structure, from Alexandria via LeMat-Bulk.

Values from the calculation:
D(E_F): 1.050 states/eV per atom
Total magnetic moment: 0.0 μB/f.u.
ΔE_f: 0.413 eV/atom
Crystal system: monoclinic

Cell: 9.6557 2.8103 4.7733 Å, 90.00 102.31 90.00°
With the nearest neighbours (Å) after each atom.
Space group C2/m (No. 12)
One atom of each set of equivalent atoms:
Cd (0.0000, 0.0000, 0.0000) [2 per cell]  4 Ru 2.77, 2 Cd 2.81, 6 Re 2.83-2.98
Re (0.2333, 0.0000, 0.7291) [4 per cell]  6 Re 2.68-2.90, 2 Ru 2.68, 3 Cd 2.83-2.98
Ru (0.0000, 0.5000, 0.5000) [2 per cell]  4 Re 2.68, 4 Cd 2.77, 2 Ru 2.81

=====

No. 8
The following is a PBE calculation of a geometry-optimized CdRe2Ru structure, from Alexandria via LeMat-Bulk.

Values from the calculation:
D(E_F): 1.376 states/eV per atom
Total magnetic moment: 0.0 μB/f.u.
ΔE_f: 0.662 eV/atom
Crystal system: tetragonal

Cell: 3.8561 3.8561 4.2254 Å, 90.00 90.00 90.00°
With the nearest neighbours (Å) after each atom.
Space group P4/mmm (No. 123)
One atom of each set of equivalent atoms:
Cd (0.0000, 0.0000, 0.0000) [1 per cell]  4 Ru 2.73, 8 Re 2.86
Re (0.0000, 0.5000, 0.5000) [2 per cell]  4 Re 2.73, 4 Cd 2.86, 4 Ru 2.86
Ru (0.5000, 0.5000, 0.0000) [1 per cell]  4 Cd 2.73, 8 Re 2.86

=====

No. 9
The following is a PBE calculation of a geometry-optimized Cd2ReRu structure, from Alexandria via LeMat-Bulk.

Values from the calculation:
D(E_F): 1.340 states/eV per atom
Relative energy among the computed polymorphs: 0.749 eV per atom
Total magnetic moment: 1.7 μB/f.u.
ΔE_f: 0.897 eV/atom
Crystal system: cubic

Cell: 6.4906 6.4906 6.4906 Å, 90.00 90.00 90.00°
With the nearest neighbours (Å) after each atom.
Space group Fm-3m (No. 225)
One atom of each set of equivalent atoms:
Cd (0.2500, 0.2500, 0.2500) [8 per cell]  4 Re 2.81, 4 Ru 2.81
Re (0.0000, 0.0000, 0.0000) [4 per cell]  8 Cd 2.81
Ru (0.0000, 0.0000, 0.5000) [4 per cell]  8 Cd 2.81

=====

No. 10
The following is a PBE calculation of a geometry-optimized CdRe2Ru structure, from Alexandria via LeMat-Bulk.

Values from the calculation:
D(E_F): 1.146 states/eV per atom
Total magnetic moment: 0.0 μB/f.u.
ΔE_f: 1.024 eV/atom
Crystal system: tetragonal

Cell: 7.4583 7.4583 5.2015 Å, 90.00 90.00 90.00°
With the nearest neighbours (Å) after each atom.
Space group I-42d (No. 122)
One atom of each set of equivalent atoms:
Cd (0.0000, 0.0000, 0.0000) [4 per cell]  2 Ru 2.60
Re (0.1943, 0.2500, 0.6250) [8 per cell]  2 Ru 2.45, 2 Re 2.73
Ru (0.0000, 0.0000, 0.5000) [4 per cell]  4 Re 2.45, 2 Cd 2.60

=====

No. 11
The following is a PBE calculation of a geometry-optimized CdRe2Ru structure, from Alexandria via LeMat-Bulk.

Values from the calculation:
D(E_F): 1.157 states/eV per atom
Total magnetic moment: 0.0 μB/f.u.
ΔE_f: 0.388 eV/atom
Crystal system: orthorhombic

Cell: 2.7864 3.9391 5.8546 Å, 90.00 90.00 90.00°
With the nearest neighbours (Å) after each atom.
Space group Pmm2 (No. 25)
One atom of each set of equivalent atoms:
Cd (0.0000, 0.0000, 0.0000) [1 per cell]  2 Cd 2.79, 4 Ru 2.88, 6 Re 2.93-2.97
Re (0.0000, 0.0000, 0.5001) [1 per cell]  6 Re 2.70-2.79, 4 Ru 2.76, 2 Cd 2.93
Re (0.5000, 0.5000, 0.2947) [1 per cell]  1 Ru 2.55, 6 Re 2.70-2.79
Ru (0.5000, 0.5000, 0.7307) [1 per cell]  5 Re 2.55-2.76, 2 Ru 2.79

=====

No. 12
The following is a PBE calculation of a geometry-optimized CdRe2Ru2 structure, from Alexandria via LeMat-Bulk.

Values from the calculation:
D(E_F): 0.654 states/eV per atom
Relative energy among the computed polymorphs: 0.031 eV per atom
Total magnetic moment: 0.0 μB/f.u.
ΔE_f: 0.274 eV/atom
Crystal system: tetragonal

Cell: 7.6532 7.6532 2.7597 Å, 90.00 90.00 90.00°
With the nearest neighbours (Å) after each atom.
Space group P4/mbm (No. 127)
One atom of each set of equivalent atoms:
Cd (0.0000, 0.0000, 0.0000) [2 per cell]  2 Cd 2.76, 4 Ru 3.02
Re (0.1628, 0.3372, 0.5000) [4 per cell]  6 Ru 2.62-2.67, 2 Re 2.76
Ru (0.1261, 0.6261, 0.0000) [4 per cell]  6 Re 2.62-2.67, 3 Ru 2.73-2.76

=====

No. 13
The following is a PBE calculation of a geometry-optimized CdReRu structure, from Alexandria via LeMat-Bulk.

Values from the calculation:
D(E_F): 0.767 states/eV per atom
Relative energy among the computed polymorphs: 0.002 eV per atom
Total magnetic moment: 0.0 μB/f.u.
ΔE_f: 0.221 eV/atom
Crystal system: tetragonal

Cell: 2.8601 2.8601 12.0224 Å, 90.00 90.00 90.00°
With the nearest neighbours (Å) after each atom.
Space group I4mm (No. 107)
One atom of each set of equivalent atoms:
Cd (0.0000, 0.0000, 0.0000) [2 per cell]  4 Cd 2.86, 4 Ru 2.98, 4 Re 3.01
Re (0.0000, 0.0000, 0.6859) [2 per cell]  4 Ru 2.57, 4 Re 2.86
Ru (0.0000, 0.0000, 0.3185) [2 per cell]  4 Re 2.57, 4 Ru 2.86

=====

No. 14
The following is a PBE calculation of a geometry-optimized CdReRu structure, from Alexandria via LeMat-Bulk.

Values from the calculation:
D(E_F): 0.423 states/eV per atom
Relative energy among the computed polymorphs: 0.168 eV per atom
Total magnetic moment: 0.0 μB/f.u.
ΔE_f: 0.387 eV/atom
Crystal system: orthorhombic

Cell: 2.8468 3.7410 9.2250 Å, 90.00 90.00 90.00°
With the nearest neighbours (Å) after each atom.
Space group Imm2 (No. 44)
One atom of each set of equivalent atoms:
Cd (0.0000, 0.0000, 0.0000) [2 per cell]  2 Cd 2.85, 5 Re 2.87-2.93, 5 Ru 2.90-2.91
Re (0.0000, 0.0000, 0.6892) [2 per cell]  4 Ru 2.62, 2 Re 2.85, 5 Cd 2.87-2.93
Ru (0.0000, 0.0000, 0.3139) [2 per cell]  4 Re 2.62, 2 Ru 2.85, 5 Cd 2.90-2.91

=====

No. 15
The following is a PBE calculation of a geometry-optimized CdReRu structure, from Alexandria via LeMat-Bulk.

Values from the calculation:
D(E_F): 0.784 states/eV per atom
Relative energy among the computed polymorphs: 0.000 eV per atom
Total magnetic moment: 0.0 μB/f.u.
ΔE_f: 0.220 eV/atom
Crystal system: trigonal

Cell: 2.8176 2.8176 7.0874 Å, 90.00 90.00 120.00°
With the nearest neighbours (Å) after each atom.
Space group P3m1 (No. 156)
One atom of each set of equivalent atoms:
Cd (0.0000, 0.0000, 0.0000) [1 per cell]  6 Cd 2.82, 3 Ru 2.98, 3 Re 3.04
Re (0.3333, 0.6667, 0.3630) [1 per cell]  3 Ru 2.59, 6 Re 2.82
Ru (0.6667, 0.3333, 0.6471) [1 per cell]  3 Re 2.59, 6 Ru 2.82

=====

No. 16
The following is a PBE calculation of a geometry-optimized Cd2ReRu structure, from Alexandria via LeMat-Bulk.

Values from the calculation:
D(E_F): 0.942 states/eV per atom
Relative energy among the computed polymorphs: 0.430 eV per atom
Total magnetic moment: 0.0 μB/f.u.
ΔE_f: 0.579 eV/atom
Crystal system: monoclinic

Cell: 9.8116 2.9169 4.8230 Å, 90.00 101.88 90.00°
With the nearest neighbours (Å) after each atom.
Space group C2/m (No. 12)
One atom of each set of equivalent atoms:
Cd (0.2474, 0.0000, 0.2470) [4 per cell]  6 Cd 2.80-2.92, 3 Ru 2.87-2.96, 3 Re 2.92-2.93
Re (0.0000, 0.0000, 0.5000) [2 per cell]  4 Ru 2.82, 2 Re 2.92, 6 Cd 2.92-2.93
Ru (0.0000, 0.5000, 0.0000) [2 per cell]  4 Re 2.82, 6 Cd 2.87-2.96, 2 Ru 2.92

=====

No. 17
The following is a PBE calculation of a geometry-optimized CdRe2Ru structure, from Alexandria via LeMat-Bulk.

Values from the calculation:
D(E_F): 0.924 states/eV per atom
Total magnetic moment: 0.0 μB/f.u.
ΔE_f: 0.562 eV/atom
Crystal system: tetragonal

Cell: 4.0376 4.0376 7.6787 Å, 90.00 90.00 90.00°
With the nearest neighbours (Å) after each atom.
Space group I-4m2 (No. 119)
One atom of each set of equivalent atoms:
Cd (0.0000, 0.0000, 0.0000) [2 per cell]  8 Re 2.79-2.86, 4 Ru 2.79
Re (0.0000, 0.0000, 0.5000) [2 per cell]  4 Re 2.79, 4 Ru 2.79, 4 Cd 2.86
Re (0.0000, 0.5000, 0.7500) [2 per cell]  4 Cd 2.79, 4 Re 2.79, 4 Ru 2.86
Ru (0.0000, 0.5000, 0.2500) [2 per cell]  4 Cd 2.79, 8 Re 2.79-2.86